(1)
# SmHo4Hg, relaxed, DFT PBE
# Electronic total energy   -0.148 hartree per atom
# Excess energy over the best structure of this formula in the dataset   0.0 meV/atom
data_SmHo4Hg
_symmetry_space_group_name_H-M 'P 4/m m m'
_symmetry_Int_Tables_number 123
_symmetry_space_group_name_Hall '-P 4 2'
_cell_length_a 3.572
_cell_length_b 3.572
_cell_length_c 13.995
_cell_angle_alpha 90.00
_cell_angle_beta 90.00
_cell_angle_gamma 90.00
loop_
_atom_site_label
_atom_site_type_symbol
_atom_site_fract_x
_atom_site_fract_y
_atom_site_fract_z
Sm1 Sm 0.000 0.000 0.000
Ho1 Ho 0.000 0.000 0.357
Ho2 Ho 0.500 0.500 0.180
Hg1 Hg 0.500 0.500 0.500

(2)
# Ac3CoBr3, relaxed, DFT PBE
# Energy relative to the elements, uncorrected   -1194 meV/atom
# Electronic total energy   -0.172 hartree per atom
data_Ac3CoBr3
_symmetry_space_group_name_H-M 'P 1 21/m 1'
_symmetry_Int_Tables_number 11
_symmetry_space_group_name_Hall '-P 2yb'
_cell_length_a 9.548
_cell_length_b 4.266
_cell_length_c 12.673
_cell_angle_alpha 90.00
_cell_angle_beta 94.78
_cell_angle_gamma 90.00
loop_
_atom_site_label
_atom_site_type_symbol
_atom_site_fract_x
_atom_site_fract_y
_atom_site_fract_z
Ac1 Ac 0.086 0.250 0.393
Ac2 Ac 0.132 0.250 0.849
Ac3 Ac 0.330 0.750 0.629
Co1 Co 0.125 0.250 0.627
Br1 Br 0.117 0.250 0.115
Br2 Br 0.381 0.750 0.882
Br3 Br 0.385 0.750 0.377

(3)
# Tm5HgBi2, relaxed, DFT PBE
# Electronic total energy   -0.149 hartree per atom
data_Tm5HgBi2
_symmetry_space_group_name_H-M 'C m c m'
_symmetry_Int_Tables_number 63
_symmetry_space_group_name_Hall '-C 2c 2'
_cell_length_a 5.704
_cell_length_b 11.676
_cell_length_c 14.247
_cell_angle_alpha 90.00
_cell_angle_beta 90.00
_cell_angle_gamma 90.00
loop_
_atom_site_label
_atom_site_type_symbol
_atom_site_fract_x
_atom_site_fract_y
_atom_site_fract_z
Tm1 Tm 0.000 0.070 0.102
Tm2 Tm 0.000 0.380 0.050
Tm3 Tm 0.000 0.428 0.750
Hg1 Hg 0.000 0.283 0.250
Bi1 Bi 0.000 0.204 0.617

(4)
# PaBiPd2, relaxed, DFT PBE
# Electronic total energy   -0.233 hartree per atom
data_PaBiPd2
_symmetry_space_group_name_H-M 'P 4/m m m'
_symmetry_Int_Tables_number 123
_symmetry_space_group_name_Hall '-P 4 2'
_cell_length_a 3.663
_cell_length_b 3.663
_cell_length_c 6.628
_cell_angle_alpha 90.00
_cell_angle_beta 90.00
_cell_angle_gamma 90.00
loop_
_atom_site_label
_atom_site_type_symbol
_atom_site_fract_x
_atom_site_fract_y
_atom_site_fract_z
Pa1 Pa 0.000 0.000 0.000
Bi1 Bi 0.000 0.000 0.500
Pd1 Pd 0.500 0.500 0.224

(5)
# HoZrMn, relaxed, DFT PBE
# Electronic total energy   -0.268 hartree per atom
# Excess energy over the best structure of this formula in the dataset   0.0 meV/atom
data_HoZrMn
_symmetry_space_group_name_H-M 'I 4 m m'
_symmetry_Int_Tables_number 107
_symmetry_space_group_name_Hall 'I 4 -2'
_cell_length_a 3.463
_cell_length_b 3.463
_cell_length_c 10.973
_cell_angle_alpha 90.00
_cell_angle_beta 90.00
_cell_angle_gamma 90.00
loop_
_atom_site_label
_atom_site_type_symbol
_atom_site_fract_x
_atom_site_fract_y
_atom_site_fract_z
Ho1 Ho 0.000 0.000 0.000
Zr1 Zr 0.000 0.000 0.284
Mn1 Mn 0.000 0.000 0.678

(6)
# Tb3Nd4Tm8, relaxed, DFT PBE
# Electronic total energy   -0.164 hartree per atom
# Excess energy over the best structure of this formula in the dataset   0.0 meV/atom
data_Tb3Nd4Tm8
_symmetry_space_group_name_H-M 'R -3 m'
_symmetry_Int_Tables_number 166
_symmetry_space_group_name_Hall '-R 3 2"'
_cell_length_a 6.9269
_cell_length_b 6.9269
_cell_length_c 35.2614
_cell_angle_alpha 90.00
_cell_angle_beta 90.00
_cell_angle_gamma 120.00
loop_
_atom_site_label
_atom_site_type_symbol
_atom_site_fract_x
_atom_site_fract_y
_atom_site_fract_z
Tb1 Tb 0.0000 0.5000 0.0000
Nd1 Nd 0.0000 0.0000 0.0000
Nd2 Nd 0.0000 0.0000 0.1634
Nd3 Nd 0.0000 0.0000 0.5000
Tm1 Tm 0.0000 0.0000 0.2552
Tm2 Tm 0.0017 0.5008 0.2510

(7)
# Nd3ThPt4, relaxed, DFT PBE
# Electronic total energy   -0.252 hartree per atom
data_Nd3ThPt4
_symmetry_space_group_name_H-M 'P 1 2/c 1'
_symmetry_Int_Tables_number 13
_symmetry_space_group_name_Hall '-P 2yc'
_cell_length_a 7.290
_cell_length_b 8.392
_cell_length_c 7.266
_cell_angle_alpha 90.00
_cell_angle_beta 109.53
_cell_angle_gamma 90.00
loop_
_atom_site_label
_atom_site_type_symbol
_atom_site_fract_x
_atom_site_fract_y
_atom_site_fract_z
Nd1 Nd 0.000 0.123 0.250
Nd2 Nd 0.000 0.374 0.750
Nd3 Nd 0.500 0.124 0.750
Th1 Th 0.500 0.375 0.250
Pt1 Pt 0.253 0.130 0.005
Pt2 Pt 0.257 0.379 0.499

(8)
# Sr3ZnBi, relaxed, DFT PBE
# Electronic total energy   -0.082 hartree per atom
# Excess energy over the best structure of this formula in the dataset   275.7 meV/atom
data_Sr3ZnBi
_symmetry_space_group_name_H-M 'P m -3 m'
_symmetry_Int_Tables_number 221
_symmetry_space_group_name_Hall '-P 4 2 3'
_cell_length_a 5.914
_cell_length_b 5.914
_cell_length_c 5.914
_cell_angle_alpha 90.00
_cell_angle_beta 90.00
_cell_angle_gamma 90.00
loop_
_atom_site_label
_atom_site_type_symbol
_atom_site_fract_x
_atom_site_fract_y
_atom_site_fract_z
Sr1 Sr 0.000 0.000 0.500
Zn1 Zn 0.000 0.000 0.000
Bi1 Bi 0.500 0.500 0.500

(9)
# CoNiIr2, relaxed, DFT PBE
# Electronic total energy   -0.280 hartree per atom
# Excess energy over the best structure of this formula in the dataset   26.9 meV/atom
data_CoNiIr2
_symmetry_space_group_name_H-M 'P m m 2'
_symmetry_Int_Tables_number 25
_symmetry_space_group_name_Hall 'P 2 -2'
_cell_length_a 2.682
_cell_length_b 3.706
_cell_length_c 5.162
_cell_angle_alpha 90.00
_cell_angle_beta 90.00
_cell_angle_gamma 90.00
loop_
_atom_site_label
_atom_site_type_symbol
_atom_site_fract_x
_atom_site_fract_y
_atom_site_fract_z
Co1 Co 0.000 0.000 0.000
Ni1 Ni 0.500 0.500 0.760
Ir1 Ir 0.000 0.000 0.511
Ir2 Ir 0.500 0.500 0.248

(10)
# Cs6Pb, relaxed, DFT PBE
# Electronic total energy   -0.026 hartree per atom
data_Cs6Pb
_symmetry_space_group_name_H-M 'I m -3 m'
_symmetry_Int_Tables_number 229
_symmetry_space_group_name_Hall '-I 4 2 3'
_cell_length_a 13.286
_cell_length_b 13.286
_cell_length_c 13.286
_cell_angle_alpha 90.00
_cell_angle_beta 90.00
_cell_angle_gamma 90.00
loop_
_atom_site_label
_atom_site_type_symbol
_atom_site_fract_x
_atom_site_fract_y
_atom_site_fract_z
Cs1 Cs 0.000 0.250 0.500
Pb1 Pb 0.000 0.000 0.000

(11)
# Cr2CoIrN, relaxed, DFT PBE
# Energy relative to the elements, uncorrected   -164 meV/atom
# Electronic total energy   -0.326 hartree per atom
data_Cr2CoIrN
_symmetry_space_group_name_H-M 'P 4/m m m'
_symmetry_Int_Tables_number 123
_symmetry_space_group_name_Hall '-P 4 2'
_cell_length_a 3.820
_cell_length_b 3.820
_cell_length_c 3.781
_cell_angle_alpha 90.00
_cell_angle_beta 90.00
_cell_angle_gamma 90.00
loop_
_atom_site_label
_atom_site_type_symbol
_atom_site_fract_x
_atom_site_fract_y
_atom_site_fract_z
Cr1 Cr 0.000 0.500 0.000
Co1 Co 0.000 0.000 0.500
Ir1 Ir 0.500 0.500 0.500
N1 N 0.000 0.000 0.000

(12)
# Rb2BaCe3O8, relaxed, DFT PBE
# Energy relative to the elements, uncorrected   -2834 meV/atom
# Electronic total energy   -0.265 hartree per atom
data_Rb2BaCe3O8
_symmetry_space_group_name_H-M 'R 3 m'
_symmetry_Int_Tables_number 160
_symmetry_space_group_name_Hall 'R 3 -2"'
_cell_length_a 7.2326
_cell_length_b 7.2326
_cell_length_c 19.3755
_cell_angle_alpha 90.00
_cell_angle_beta 90.00
_cell_angle_gamma 120.00
loop_
_atom_site_label
_atom_site_type_symbol
_atom_site_fract_x
_atom_site_fract_y
_atom_site_fract_z
Rb1 Rb 0.0000 0.0000 0.0000
Rb2 Rb 0.0000 0.0000 0.3762
Ba1 Ba 0.0000 0.0000 0.7651
Ce1 Ce 0.0022 0.5011 0.8775
O1 O 0.0000 0.0000 0.1519
O2 O 0.0000 0.0000 0.6051
O3 O 0.0376 0.5188 0.1523
O4 O 0.1899 0.3799 0.9309